1.
Material: Li4Th3Au4
Method: DFT, GGA-PBE
State: relaxed

a = 8.6015 Å, b = 8.6015 Å, c = 8.6015 Å
α = 152.56°, β = 126.01°, γ = 61.61°
Atoms (fractional coordinates):
1 Li 0.0177 0.8234 0.1943
2 Li 0.3709 0.1766 0.1943
3 Li 0.6291 0.8234 0.8057
4 Li 0.9823 0.1766 0.8057
5 Th 0.0000 0.5000 0.5000
6 Th 0.3737 0.3737 0.0000
7 Th 0.6263 0.6263 0.0000
8 Au 0.2186 0.7186 0.5000
9 Au 0.2998 0.0000 0.2998
10 Au 0.7002 0.0000 0.7002
11 Au 0.7814 0.2814 0.5000

## Properties
Its space group is Immm. The value obtained for the energy relative to the elements is -471 meV per atom. The calculation puts the total energy at -48.2 eV/cell. The spin magnetization is 0.00 μB per cell. The calculation puts the volume at 235.4 Å³/f.u.

---

2.
Material: La4ClO5
Method: DFT, GGA-PBE
State: relaxed

a = 7.5394 Å, b = 9.2881 Å, c = 6.0431 Å
α = 90.00°, β = 90.00°, γ = 90.00°
Atoms (fractional coordinates):
1 La 0.0091 0.2500 0.0412
2 La 0.2500 0.0377 0.5333
3 La 0.2500 0.4623 0.5333
4 La 0.4909 0.2500 0.0412
5 La 0.5091 0.7500 0.9588
6 La 0.7500 0.5377 0.4667
7 La 0.7500 0.9623 0.4667
8 La 0.9909 0.7500 0.9588
9 Cl 0.2500 0.7500 0.3263
10 Cl 0.7500 0.2500 0.6737
11 O 0.0025 0.5638 0.7283
12 O 0.0025 0.9362 0.7283
13 O 0.2500 0.2500 0.7742
14 O 0.4975 0.5638 0.7283
15 O 0.4975 0.9362 0.7283
16 O 0.5025 0.0638 0.2717
17 O 0.5025 0.4362 0.2717
18 O 0.7500 0.7500 0.2258
19 O 0.9975 0.0638 0.2717
20 O 0.9975 0.4362 0.2717

## Properties
Its space group is Pmmn. The uncorrected formation energy comes out at -3.064 eV/atom. The calculation puts the total energy at -154.0 eV/cell. The spin magnetization is 1.63 μB per cell. The calculation puts the volume at 211.6 Å³/f.u.

---

What is the total energy in the first record?
-48.2 eV/cell